No. 1
# CrPRu (meta-GGA SCAN, single point on PBEsol structure)
data_CrPRu
_symmetry_space_group_name_H-M 'P 3 m 1'
_symmetry_Int_Tables_number 156
_cell_length_a 2.7072
_cell_length_b 2.7072
_cell_length_c 5.7196
_cell_angle_alpha 90.00
_cell_angle_beta 90.00
_cell_angle_gamma 120.00
loop_
_symmetry_equiv_pos_as_xyz
'x,y,z'
'-y,x-y,z'
'-x+y,-x,z'
'-y,-x,z'
'-x+y,y,z'
'x,x-y,z'
loop_
_atom_site_label
_atom_site_type_symbol
_atom_site_fract_x
_atom_site_fract_y
_atom_site_fract_z
Cr1 Cr 0.0000 0.0000 0.0000
P1 P 0.3333 0.6667 0.6875
Ru1 Ru 0.6667 0.3333 0.3543
# Calculated formation energy ... -0.02 eV per atom
# DOS(E_F) ... 1.94 states/eV/cell

No. 2
# K2PdBrCl3 (meta-GGA SCAN, single point on PBEsol structure)
data_K2PdBrCl3
_symmetry_space_group_name_H-M 'A m m 2'
_symmetry_Int_Tables_number 38
_cell_length_a 4.118
_cell_length_b 10.264
_cell_length_c 9.695
_cell_angle_alpha 90.00
_cell_angle_beta 90.00
_cell_angle_gamma 90.00
loop_
_symmetry_equiv_pos_as_xyz
'x,y,z'
'-x,-y,z'
'-x,y,z'
'x,-y,z'
'x,y+1/2,z+1/2'
'-x,-y+1/2,z+1/2'
'-x,y+1/2,z+1/2'
'x,-y+1/2,z+1/2'
loop_
_atom_site_label
_atom_site_type_symbol
_atom_site_fract_x
_atom_site_fract_y
_atom_site_fract_z
K1 K 0.000 0.239 0.000
Pd1 Pd 0.500 0.000 0.251
Br1 Br 0.500 0.000 0.500
Cl1 Cl 0.500 0.000 0.014
Cl2 Cl 0.500 0.224 0.251
# Energy relative to the elements, uncorrected ... -1497 meV per atom
# DOS(E_F) ... 0.00 states/eV/cell

No. 3
# NiPbBr2 (meta-GGA SCAN, single point on PBEsol structure)
data_NiPbBr2
_symmetry_space_group_name_H-M 'I m m m'
_symmetry_Int_Tables_number 71
_symmetry_space_group_name_Hall '-I 2 2'
_cell_length_a 3.515
_cell_length_b 5.367
_cell_length_c 9.893
_cell_angle_alpha 90.00
_cell_angle_beta 90.00
_cell_angle_gamma 90.00
loop_
_atom_site_label
_atom_site_type_symbol
_atom_site_fract_x
_atom_site_fract_y
_atom_site_fract_z
Ni1 Ni 0.000 0.000 0.000
Pb1 Pb 0.000 0.000 0.500
Br1 Br 0.000 0.500 0.330
# Energy relative to the elements, uncorrected ... -316 meV per atom
# DOS(E_F) ... 2.53 states/eV/cell

No. 4
# ReOs3 (meta-GGA SCAN, single point on PBEsol structure)
data_ReOs3
_symmetry_space_group_name_H-M 'P 63/m m c'
_symmetry_Int_Tables_number 194
_symmetry_space_group_name_Hall '-P 6c 2c'
_cell_length_a 5.4511
_cell_length_b 5.4511
_cell_length_c 8.7590
_cell_angle_alpha 90.00
_cell_angle_beta 90.00
_cell_angle_gamma 120.00
loop_
_atom_site_label
_atom_site_type_symbol
_atom_site_fract_x
_atom_site_fract_y
_atom_site_fract_z
Re1 Re 0.0000 0.0000 0.0000
Re2 Re 0.3333 0.6667 0.2500
Os1 Os 0.0000 0.5000 0.0000
Os2 Os 0.1664 0.3328 0.7500
# Calculated formation energy ... 0.01 eV per atom
# DOS(E_F) ... 12.49 states/eV/cell
# Relative energy among the computed polymorphs ... 101 meV/atom

Number 1: total magnetic moment 1.251 μB per formula unit, E -63.7 eV for the cell shown. Number 2: total magnetic moment 0.000 μB per formula unit, E -206.6 eV for the cell shown. Number 3: total magnetic moment 1.004 μB per formula unit, E -264.3 eV for the cell shown. Number 4: total magnetic moment 0.000 μB per formula unit, E -1146.8 eV for the cell shown.